This record from Alexandria describes crystalline BaSrZn4 at its relaxed geometry. The functional is PBE.

Calculated values
The value obtained for the offset from the most stable computed form is 0 meV/atom. For the volume, the calculation gives 163.8 Å³/cell. The calculated total energy comes out at -1.661 eV per atom. Its total magnetization is 0.00 μB per atom. The formation energy comes out at -0.211 eV/atom. As for the space group: Immm, No. 71.

a = 4.633 Å, b = 6.395 Å, c = 6.395 Å
α = 77.46°, β = 68.76°, γ = 68.76°
Element x y z (fractional)
Zn  0.754  0.580  0.912
Ba  0.000  0.000  0.000
Zn  0.754  0.912  0.580
Sr  0.500  0.500  0.500
Zn  0.246  0.088  0.420
Zn  0.246  0.420  0.088